Compound: AcHoAu3
Source: Alexandria
Functional: PBE
Structure: optimized geometry

```
AcHoAu3
1.0
1.931 -14.193 0.000
1.931 14.193 0.000
0.000 0.000 4.671
Ac Ho Au
2 2 6
Cartesian
1.931 12.055 3.503
1.931 -12.055 1.168
1.931 8.308 1.168
1.931 -8.308 3.503
1.931 5.362 1.168
1.931 3.595 3.503
1.931 0.770 3.503
1.931 -0.770 1.168
1.931 -3.595 1.168
1.931 -5.362 3.503
```

Calculated values
ΔE_f = -0.850 eV/atom
V = 25.60 A^3/atom
symmetry = Cmcm (63)

***

Compound: AlRe2PbC
Source: Alexandria
Functional: PBE
Structure: optimized geometry

```
AlRe2PbC
1.0
4.088 0.000 0.000
0.000 4.088 0.000
0.000 0.000 5.091
Al Re Pb C
1 2 1 1
Cartesian
0.000 0.000 0.000
0.000 2.044 2.545
2.044 0.000 2.545
2.044 2.044 0.000
2.044 2.044 2.545
```

Calculated values
excess energy over the best structure of this formula in the dataset = 0.000 eV/f.u.
ΔE_f = 0.948 eV/atom
V = 17.02 A^3/atom
symmetry = P4/mmm (123)

***

Compound: CaHIO2
Source: Alexandria
Functional: PBE
Structure: optimized geometry

```
CaHIO2
1.0
4.433 0.000 0.000
0.000 4.433 0.000
0.000 0.000 6.778
Ca H I O
1 1 1 2
Cartesian
0.000 0.000 0.000
2.217 2.217 3.389
0.000 0.000 3.389
0.000 2.217 0.000
2.217 0.000 0.000
```

Calculated values
excess energy over the best structure of this formula in the dataset = 1.223 eV/f.u.
V = 26.64 A^3/atom
symmetry = P4/mmm (123)